# 1
The following is a DFT calculation (PBEsol) of a relaxed Ho5CoBi2 crystal.

Calculated values
The calculated total energy comes out at -182.80 eV/cell. The formation energy from the elements is -0.580 eV per atom. As for the total magnetic moment: 0.0 μB per formula unit. The calculation puts the mass density at 10.439 Mg/m³.

Lattice parameters (Å, degrees): 7.826 8.697 12.166 90.00 90.00 90.00
Positions (direct):
Ho: 0.824 0.538 0.937
Ho: 0.349 0.750 0.301
Ho: 0.676 0.962 0.437
Ho: 0.824 0.962 0.937
Ho: 0.849 0.250 0.199
Ho: 0.948 0.250 0.497
Ho: 0.052 0.750 0.503
Ho: 0.176 0.462 0.063
Ho: 0.651 0.250 0.699
Ho: 0.151 0.750 0.801
Ho: 0.324 0.038 0.563
Ho: 0.552 0.250 0.997
Ho: 0.676 0.538 0.437
Ho: 0.176 0.038 0.063
Ho: 0.385 0.250 0.311
Ho: 0.448 0.750 0.003
Ho: 0.615 0.750 0.689
Ho: 0.324 0.462 0.563
Ho: 0.115 0.250 0.811
Ho: 0.885 0.750 0.189
Bi: 0.928 0.509 0.674
Bi: 0.928 0.991 0.674
Bi: 0.428 0.009 0.826
Bi: 0.072 0.491 0.326
Bi: 0.428 0.491 0.826
Bi: 0.572 0.509 0.174
Bi: 0.072 0.009 0.326
Bi: 0.572 0.991 0.174
Co: 0.431 0.750 0.509
Co: 0.569 0.250 0.491
Co: 0.931 0.250 0.991
Co: 0.069 0.750 0.009

=====

# 2
The following is a DFT calculation (PBEsol) of a relaxed Ho12Co5Bi crystal.

Calculated values
The calculated total energy comes out at -107.78 eV/cell. The formation energy from the elements is -0.300 eV per atom. As for the total magnetic moment: 0.0 μB per formula unit. The calculation puts the mass density at 10.014 Mg/m³.

Lattice parameters (Å, degrees): 8.121 8.121 8.121 73.16 69.12 110.73
Positions (direct):
Ho: 0.308 0.688 0.003
Ho: 0.527 0.816 0.289
Ho: 0.895 0.184 0.289
Ho: 0.473 0.184 0.711
Ho: 0.806 0.012 0.794
Ho: 0.105 0.816 0.711
Ho: 0.692 0.688 0.620
Ho: 0.308 0.312 0.380
Ho: 0.806 0.600 0.206
Ho: 0.194 0.988 0.206
Ho: 0.194 0.400 0.794
Ho: 0.692 0.312 0.997
Co: 0.500 0.888 0.612
Co: 0.376 0.376 0.000
Co: 0.000 0.000 0.000
Co: 0.500 0.112 0.388
Co: 0.624 0.624 0.000
Bi: 0.000 0.500 0.500

=====

> Which of these has the lowest formation energy from the elements?

Ho5CoBi2

=====

> calculated total energy of number 1 (Ho5CoBi2)?

-182.80 eV/cell